Compound: ZrNpTcRh
Source: the Alexandria database
Functional: GGA-PBE
Structure: relaxed

Summary:
* theoretical density: 11.80 g/cm³
* VASP energy: -10.072 eV per atom
* DOS at the Fermi energy: 5.1 states/eV/cell

a b c (Å): 4.722 4.722 4.722
angles (deg): 60.00 60.00 60.00
Site moments in Bohr magnetons follow the coordinates.
Element x y z (fractional)
Np (0.250, 0.250, 0.250)  3.41
Rh (0.000, 0.000, 0.000)  -0.17
Tc (0.500, 0.500, 0.500)  -0.34
Zr (0.750, 0.750, 0.750)  0.15

=====

Compound: Np2Te5Rh
Source: the Alexandria database
Functional: GGA-PBE
Structure: relaxed

Summary:
* theoretical density: 9.37 g/cm³
* VASP energy: -6.678 eV per atom
* DOS at the Fermi energy: 39.1 states/eV/cell

a b c (Å): 4.238 8.561 11.869
angles (deg): 90.00 90.00 90.00
Site moments in Bohr magnetons follow the coordinates.
Element x y z (fractional)
Np (0.500, 0.086, 0.323)  3.87
Np (0.500, 0.586, 0.177)  3.87
Np (0.500, 0.914, 0.677)  3.87
Np (0.500, 0.414, 0.823)  3.87
Rh (0.000, 0.500, 0.500)  0.01
Rh (0.000, 0.000, 0.000)  0.01
Te (0.000, 0.636, 0.703)  -0.11
Te (0.500, 0.318, 0.555)  -0.08
Te (0.000, 0.364, 0.297)  -0.11
Te (0.000, 0.000, 0.500)  -0.14
Te (0.500, 0.818, 0.945)  -0.08
Te (0.000, 0.136, 0.797)  -0.11
Te (0.500, 0.682, 0.445)  -0.08
Te (0.000, 0.864, 0.203)  -0.11
Te (0.500, 0.182, 0.055)  -0.08
Te (0.000, 0.500, 0.000)  -0.14

=====

Compound: NpTeRh
Source: the Alexandria database
Functional: GGA-PBE
Structure: relaxed

Summary:
* theoretical density: 11.48 g/cm³
* VASP energy: -8.260 eV per atom
* DOS at the Fermi energy: 8.8 states/eV/cell

a b c (Å): 3.934 4.456 4.456
angles (deg): 120.00 90.00 90.00
Site moments in Bohr magnetons follow the coordinates.
Element x y z (fractional)
Rh (0.080, 0.000, 0.000)  -0.23
Te (0.221, 0.333, 0.667)  -0.07
Np (0.699, 0.667, 0.333)  3.89

=====

Compound: NpTe5Rh3
Source: the Alexandria database
Functional: GGA-PBE
Structure: relaxed

Summary:
* theoretical density: 8.32 g/cm³
* VASP energy: -5.885 eV per atom
* DOS at the Fermi energy: 25.3 states/eV/cell

a b c (Å): 7.760 7.760 9.287
angles (deg): 70.35 70.35 67.50
Site moments in Bohr magnetons follow the coordinates.
Element x y z (fractional)
Rh (0.000, 0.000, 0.500)  -0.18
Rh (0.000, 0.000, 0.000)  -0.11
Rh (0.329, 0.329, 0.664)  -0.14
Rh (0.325, 0.325, 0.161)  0.01
Rh (0.675, 0.675, 0.839)  0.01
Rh (0.671, 0.671, 0.336)  -0.14
Te (0.304, 0.696, 0.000)  -0.02
Te (0.629, 0.019, 0.634)  -0.05
Te (0.696, 0.304, 0.000)  -0.02
Te (0.019, 0.629, 0.634)  -0.05
Te (0.371, 0.981, 0.366)  -0.05
Te (0.981, 0.371, 0.366)  -0.05
Te (0.554, 0.554, 0.653)  -0.03
Te (0.217, 0.217, 0.973)  -0.03
Te (0.446, 0.446, 0.347)  -0.03
Te (0.783, 0.783, 0.027)  -0.03
Np (0.124, 0.124, 0.672)  3.64
Np (0.876, 0.876, 0.328)  3.64

=====

Compound: Np2Tl3Te6Rh
Source: the Alexandria database
Functional: GGA-PBE
Structure: relaxed

Summary:
* theoretical density: 8.31 g/cm³
* VASP energy: -5.351 eV per atom
* DOS at the Fermi energy: 17.7 states/eV/cell

a b c (Å): 7.431 7.431 8.613
angles (deg): 98.32 98.32 120.77
Site moments in Bohr magnetons follow the coordinates.
Element x y z (fractional)
Te (0.938, 0.632, 0.802)  -0.07
Te (0.368, 0.062, 0.198)  -0.07
Te (0.632, 0.938, 0.802)  -0.07
Te (0.229, 0.229, 0.786)  -0.05
Te (0.771, 0.771, 0.214)  -0.05
Te (0.062, 0.368, 0.198)  -0.07
Np (0.662, 0.338, 0.000)  3.86
Np (0.338, 0.662, 0.000)  3.86
Tl (0.818, 0.182, 0.500)  0.00
Tl (0.500, 0.500, 0.500)  0.00
Tl (0.182, 0.818, 0.500)  0.00
Rh (0.000, 0.000, 0.000)  0.23

=====

Compound: ThNp2Rh9
Source: the Alexandria database
Functional: GGA-PBE
Structure: relaxed

Summary:
* theoretical density: 13.50 g/cm³
* VASP energy: -8.807 eV per atom
* DOS at the Fermi energy: 24.3 states/eV/cell

a b c (Å): 4.062 4.062 12.170
angles (deg): 90.00 90.00 90.00
Site moments in Bohr magnetons follow the coordinates.
Element x y z (fractional)
Rh (0.500, 0.000, 0.500)  -0.40
Rh (0.000, 0.500, 0.179)  -0.28
Rh (0.500, 0.500, 0.663)  -0.36
Rh (0.500, 0.500, 0.337)  -0.36
Rh (0.000, 0.500, 0.500)  -0.40
Rh (0.500, 0.500, 0.000)  -0.13
Rh (0.500, 0.000, 0.821)  -0.28
Rh (0.000, 0.500, 0.821)  -0.28
Rh (0.500, 0.000, 0.179)  -0.28
Th (0.000, 0.000, 0.000)  0.01
Np (0.000, 0.000, 0.664)  2.31
Np (0.000, 0.000, 0.336)  2.31

=====

Compound: Th4NpRh15
Source: the Alexandria database
Functional: GGA-PBE
Structure: relaxed

Summary:
* theoretical density: 12.88 g/cm³
* VASP energy: -8.304 eV per atom
* DOS at the Fermi energy: 24.7 states/eV/cell

a b c (Å): 4.111 4.111 20.664
angles (deg): 90.00 90.00 90.00
Site moments in Bohr magnetons follow the coordinates.
Element x y z (fractional)
Rh (0.500, 0.000, 0.092)  -0.23
Rh (0.000, 0.500, 0.092)  -0.23
Rh (0.000, 0.500, 0.500)  0.01
Rh (0.500, 0.000, 0.298)  0.00
Rh (0.500, 0.500, 0.399)  0.01
Rh (0.000, 0.500, 0.298)  0.00
Rh (0.500, 0.000, 0.702)  0.00
Rh (0.500, 0.000, 0.500)  0.01
Rh (0.000, 0.500, 0.908)  -0.23
Rh (0.500, 0.500, 0.000)  -0.27
Rh (0.500, 0.500, 0.196)  -0.04
Rh (0.500, 0.000, 0.908)  -0.23
Rh (0.500, 0.500, 0.804)  -0.04
Rh (0.000, 0.500, 0.702)  0.00
Rh (0.500, 0.500, 0.601)  0.01
Th (0.000, 0.000, 0.197)  0.01
Th (0.000, 0.000, 0.803)  0.01
Th (0.000, 0.000, 0.399)  0.01
Th (0.000, 0.000, 0.601)  0.01
Np (0.000, 0.000, 0.000)  2.20

=====

Compound: ThNpRh6
Source: the Alexandria database
Functional: GGA-PBE
Structure: relaxed

Summary:
* theoretical density: 13.30 g/cm³
* VASP energy: -8.638 eV per atom
* DOS at the Fermi energy: 13.4 states/eV/cell

a b c (Å): 4.079 4.079 8.151
angles (deg): 90.00 90.00 90.00
Site moments in Bohr magnetons follow the coordinates.
Element x y z (fractional)
Rh (0.500, 0.000, 0.267)  0.23
Rh (0.500, 0.500, 0.000)  0.09
Rh (0.000, 0.500, 0.267)  0.23
Rh (0.500, 0.500, 0.500)  0.25
Rh (0.000, 0.500, 0.733)  0.23
Rh (0.500, 0.000, 0.733)  0.23
Np (0.000, 0.000, 0.500)  -2.05
Th (0.000, 0.000, 0.000)  0.00

=====

Compound: NpTi2Rh
Source: the Alexandria database
Functional: GGA-PBE
Structure: relaxed

Summary:
* theoretical density: 10.81 g/cm³
* VASP energy: -8.992 eV per atom
* excess energy over the best structure of this formula in the dataset: 261 meV per atom
* DOS at the Fermi energy: 13.1 states/eV/cell

a b c (Å): 4.557 4.557 4.557
angles (deg): 60.00 60.00 60.00
Site moments in Bohr magnetons follow the coordinates.
Element x y z (fractional)
Rh (0.500, 0.500, 0.500)  -0.07
Ti (0.750, 0.750, 0.750)  0.11
Ti (0.250, 0.250, 0.250)  0.11
Np (0.000, 0.000, 0.000)  3.24

=====

Compound: Np2TiRh9
Source: the Alexandria database
Functional: GGA-PBE
Structure: relaxed

Summary:
* theoretical density: 12.96 g/cm³
* VASP energy: -8.762 eV per atom
* DOS at the Fermi energy: 18.3 states/eV/cell

a b c (Å): 3.954 3.954 11.867
angles (deg): 90.00 90.00 90.00
Element x y z (fractional)
Rh (0.000, 0.500, 0.160)
Rh (0.500, 0.500, 0.671)
Rh (0.500, 0.000, 0.840)
Rh (0.000, 0.500, 0.840)
Rh (0.500, 0.000, 0.160)
Rh (0.500, 0.500, 0.329)
Rh (0.000, 0.500, 0.500)
Rh (0.500, 0.500, 0.000)
Rh (0.500, 0.000, 0.500)
Np (0.000, 0.000, 0.670)
Np (0.000, 0.000, 0.330)
Ti (0.000, 0.000, 0.000)

=====

Compound: NpTiRh
Source: the Alexandria database
Functional: GGA-PBE
Structure: relaxed

Summary:
* theoretical density: 12.27 g/cm³
* VASP energy: -9.545 eV per atom
* DOS at the Fermi energy: 9.0 states/eV/cell

a b c (Å): 3.610 3.610 8.054
angles (deg): 90.00 90.00 90.00
Site moments in Bohr magnetons follow the coordinates.
Element x y z (fractional)
Rh (0.000, 0.500, 0.810)  0.04
Rh (0.500, 0.000, 0.190)  0.04
Ti (0.000, 0.500, 0.123)  0.01
Ti (0.500, 0.000, 0.877)  0.01
Np (0.500, 0.500, 0.500)  1.95
Np (0.000, 0.000, 0.500)  1.95